NaZnInO2 | PBE-GGA | relaxed

Values from the calculation:
* final energy: -82.83 eV/cell

```
NaZnInO2
1.0
6.000 0.000 0.000
0.000 9.679 0.000
-2.138 0.000 5.178
Na Zn In O
4 4 4 8
Cartesian
1.499 0.027 0.006 Na
0.430 4.812 2.595 Na
3.432 4.867 2.583 Na
2.363 9.651 5.172 Na
0.428 1.960 2.592 Zn
1.497 2.880 0.002 Zn
2.365 6.799 5.176 Zn
3.434 7.719 2.587 Zn
1.497 6.361 0.006 In
0.428 8.157 2.595 In
3.434 1.522 2.583 In
2.365 3.318 5.173 In
-0.088 1.689 0.689 O
-1.157 3.151 3.278 O
0.944 1.688 4.503 O
2.013 3.152 1.914 O
1.849 6.527 3.265 O
2.918 7.991 0.676 O
5.019 6.528 1.900 O
3.950 7.990 4.490 O
```

PaTaCu | PBE-GGA | relaxed

Values from the calculation:
* energy of formation from the pure elements: 1.25 eV per atom
* magnetization: 0.8 μB/cell
* polymorph energy (0 for the lowest one): 625.1 meV/atom

```
PaTaCu
1.0
0.000 3.213 3.213
3.213 0.000 3.213
3.213 3.213 0.000
Pa Ta Cu
1 1 1
Cartesian
0.000 0.000 0.000 Pa
1.607 1.607 1.607 Ta
4.820 4.820 4.820 Cu
```

Ta | PBE-GGA | relaxed

Values from the calculation:
* energy of formation from the pure elements: 0.12 eV per atom
* magnetization: 0.0 μB/cell
* polymorph energy (0 for the lowest one): 116.4 meV/atom

```
Ta
1.0
0.000 3.833 3.833
3.833 0.000 3.833
3.833 3.833 0.000
Ta
6
Cartesian
0.000 0.000 0.000 Ta
1.917 1.917 0.000 Ta
1.917 0.000 1.917 Ta
2.875 2.875 2.875 Ta
0.000 1.917 1.917 Ta
4.792 4.792 4.792 Ta
```

ErZrSi2 | PBE-GGA | relaxed

Values from the calculation:
* magnetization: 0.0 μB/cell
* polymorph energy (0 for the lowest one): 16.9 meV/atom

```
ErZrSi2
1.0
3.778 0.000 0.000
0.000 5.490 0.000
0.000 0.000 7.416
Er Zr Si
2 2 4
Cartesian
0.000 0.709 0.000 Er
0.000 4.781 3.708 Er
1.889 2.048 4.765 Zr
1.889 3.443 1.057 Zr
0.000 2.138 2.691 Si
0.000 3.352 6.399 Si
1.889 0.671 2.108 Si
1.889 4.820 5.816 Si
```

YHgSeO | PBE-GGA | relaxed

Values from the calculation:
* magnetization: 1.0 μB/cell
* polymorph energy (0 for the lowest one): 145.6 meV/atom

```
YHgSeO
1.0
4.023 0.000 0.000
0.000 4.023 0.000
0.000 0.000 10.110
Y Hg Se O
2 2 2 2
Cartesian
1.006 1.006 1.062 Y
3.017 3.017 9.048 Y
1.006 3.017 5.055 Hg
3.017 1.006 5.055 Hg
1.006 1.006 7.484 Se
3.017 3.017 2.626 Se
1.006 3.017 0.000 O
3.017 1.006 0.000 O
```

LiHoFe | PBE-GGA | relaxed

Values from the calculation:
* magnetization: 1.7 μB/cell
* polymorph energy (0 for the lowest one): 0.0 meV/atom

```
LiHoFe
1.0
0.000 3.165 3.165
3.165 0.000 3.165
3.165 3.165 0.000
Li Ho Fe
1 1 1
Cartesian
0.000 0.000 0.000 Li
3.165 3.165 3.165 Ho
4.747 4.747 4.747 Fe
```

Ho | PBE-GGA | relaxed

Values from the calculation:
* energy of formation from the pure elements: 0.02 eV per atom
* magnetization: 0.0 μB/cell
* polymorph energy (0 for the lowest one): 19.5 meV/atom

```
Ho
1.0
0.000 2.484 2.484
2.484 0.000 2.484
2.484 2.484 0.000
Ho
1
Cartesian
0.000 0.000 0.000 Ho
```

Er2Ag2O5 | PBE-GGA | relaxed

Values from the calculation:
* magnetization: 2.0 μB/cell
* polymorph energy (0 for the lowest one): 0.0 meV/atom

```
Er2Ag2O5
1.0
4.036 0.000 0.000
0.000 4.036 0.000
0.000 0.000 8.519
Er Ag O
2 2 5
Cartesian
0.000 0.000 2.111 Er
0.000 0.000 6.408 Er
2.018 2.018 0.000 Ag
2.018 2.018 4.259 Ag
0.000 0.000 4.259 O
0.000 2.018 1.373 O
0.000 2.018 7.146 O
2.018 0.000 1.373 O
2.018 0.000 7.146 O
```

YEr2Co9 | PBE-GGA | relaxed

Values from the calculation:
* energy of formation from the pure elements: -0.19 eV per atom
* magnetization: 10.5 μB/cell

```
YEr2Co9
1.0
2.462 1.421 8.057
-2.462 1.421 8.057
0.000 -2.843 8.057
Y Er Co
1 2 9
Cartesian
0.000 0.000 0.000 Y
0.000 0.000 3.382 Er
0.000 0.000 20.788 Er
-1.239 -0.715 10.031 Co
0.000 0.000 8.077 Co
0.000 -1.430 14.139 Co
-1.239 0.715 14.139 Co
0.000 0.000 12.085 Co
1.239 -0.715 10.031 Co
0.000 1.430 10.031 Co
0.000 0.000 16.093 Co
1.239 0.715 14.139 Co
```

Nd4C2I4Br | PBE-GGA | relaxed

Values from the calculation:
* magnetization: 0.0 μB/cell
* final energy: -57.74 eV/cell

```
Nd4C2I4Br
1.0
10.178 -2.007 0.000
10.178 2.007 0.000
-2.062 0.000 8.370
Nd C I Br
4 2 4 1
Cartesian
19.944 0.000 1.650 Nd
-1.649 0.000 6.720 Nd
5.248 0.000 7.588 Nd
13.046 0.000 0.782 Nd
7.441 0.000 8.189 C
10.853 0.000 0.180 C
2.482 0.000 3.152 I
1.701 0.000 6.858 I
16.593 0.000 1.511 I
15.812 0.000 5.218 I
9.147 0.000 4.185 Br
```

ZrCoP | PBE-GGA | relaxed

Values from the calculation:
* magnetization: 0.0 μB/cell
* final energy: -66.72 eV/cell

```
ZrCoP
1.0
6.947 0.000 0.000
-3.473 6.016 0.000
0.000 0.000 3.409
Zr Co P
3 3 3
Cartesian
-0.969 1.679 0.000 Zr
1.939 0.000 0.000 Zr
2.504 4.337 0.000 Zr
-2.275 3.940 1.705 Co
1.199 2.076 1.705 Co
4.549 0.000 1.705 Co
0.000 0.000 1.705 P
0.000 4.011 0.000 P
3.473 2.005 0.000 P
```

Tm3Lu4Fe2Te2 | PBE-GGA | relaxed

Values from the calculation:
* magnetization: 0.6 μB/cell
* final energy: -59.87 eV/cell

```
Tm3Lu4Fe2Te2
1.0
-1.908 7.691 4.613
1.908 -7.691 4.613
1.908 7.691 -4.613
Tm Lu Fe Te
3 4 2 2
Cartesian
0.000 0.000 0.000 Tm
1.908 5.585 -0.741 Tm
0.000 2.107 3.872 Tm
1.908 2.882 1.188 Lu
0.000 5.386 2.487 Lu
0.000 9.997 2.487 Lu
0.000 4.810 5.800 Lu
1.908 -4.086 4.000 Fe
1.908 4.086 4.000 Fe
1.908 0.000 2.469 Te
0.000 0.000 6.130 Te
```